Ba2MgNiN | PBE-GGA | optimized geometry

```
Ba2MgNiN
1.0
6.0164 0.0000 0.0000
0.0000 6.0164 0.0000
0.0000 0.0000 3.6118
Ba Mg Ni N
2 1 1 1
Cartesian
0.0000 3.0082 0.0000
3.0082 0.0000 0.0000
0.0000 0.0000 1.8059
3.0082 3.0082 1.8059
3.0082 3.0082 0.0000
```

Properties
SG: P4/mmm (123)
Raw formation energy in eV per atom: -0.169
Crystal system: tetragonal
N(E_F) in states/eV per cell: 3.69